Entry 1:
Material: BeFe3Ir4
Method: DFT, PBE-GGA
State: optimized geometry

M_tot = 0.8729 μB per atom
formation energy = -156 meV/atom

Unit cell a=2.7247 b=2.7247 c=13.5596 alpha=90.00 beta=90.00 gamma=90.00
With the nearest neighbours (Å) after each atom.
Space group P4/mmm (No. 123)
Unique sites:
Be 0.0000 0.0000 0.0000 (multiplicity 1)  8 Ir 2.40
Fe 0.0000 0.0000 0.2356 (multiplicity 2)  8 Ir 2.61-2.64, 4 Fe 2.72
Fe 0.0000 0.0000 0.5000 (multiplicity 1)  8 Ir 2.63, 4 Fe 2.72
Ir 0.5000 0.5000 0.1060 (multiplicity 2)  4 Be 2.40, 4 Fe 2.61
Ir 0.5000 0.5000 0.3683 (multiplicity 2)  8 Fe 2.63-2.64, 4 Ir 2.72

---

Entry 2:
Material: TaGaIr2F
Method: DFT, PBE-GGA
State: optimized geometry

formation energy without anion corrections = 0.52 eV/atom
M_tot = 0.0000 μB per atom

Unit cell a=4.3998 b=4.3998 c=3.9725 alpha=90.00 beta=90.00 gamma=90.00
With the nearest neighbours (Å) after each atom.
Space group P4/mmm (No. 123)
Unique sites:
Ta 0.0000 0.0000 0.0000 (multiplicity 1)  8 Ir 2.96, 4 Ga 3.11
Ga 0.5000 0.5000 0.0000 (multiplicity 1)  2 F 1.99
Ir 0.0000 0.5000 0.5000 (multiplicity 2)  2 F 2.20
F 0.5000 0.5000 0.5000 (multiplicity 1)  2 Ga 1.99, 4 Ir 2.20

---

Entry 3:
Material: Tb4Er6Tm
Method: DFT, PBE-GGA
State: optimized geometry

M_tot = 0.0000 μB per atom
formation energy = 130 meV/atom

Unit cell a=5.6046 b=9.5740 c=25.4368 alpha=90.00 beta=90.00 gamma=90.00
With the nearest neighbours (Å) after each atom.
Space group Cmcm (No. 63)
Unique sites:
Tb 0.0000 0.0160 0.1216 (multiplicity 8)  5 Er 3.10-3.27
Tb 0.0000 0.3385 0.0429 (multiplicity 8)  8 Er 3.38-3.78, 2 Tb 3.68-3.79
Er 0.0000 0.0000 0.0000 (multiplicity 4)  8 Tb 3.10-3.42
Er 0.0000 0.0109 0.2500 (multiplicity 4)  3 Tm 3.20-3.22, 2 Tb 3.27
Er 0.0000 0.3203 0.6056 (multiplicity 8)  5 Tb 3.24-3.56
Er 0.0000 0.3458 0.1823 (multiplicity 8)  7 Er 3.44-3.77, 4 Tb 3.52-3.59, 3 Tm 3.61-3.66
Tm 0.0000 0.3230 0.7500 (multiplicity 4)  3 Er 3.20-3.22

---

Entry 4:
Material: LaTlPb
Method: DFT, PBE-GGA
State: optimized geometry

M_tot = 0.0014 μB per atom
formation energy = -288 meV/atom

Unit cell a=3.5529 b=4.4716 c=11.6088 alpha=90.00 beta=90.00 gamma=90.00
With the nearest neighbours (Å) after each atom.
Space group Imm2 (No. 44)
Unique sites:
La 0.0000 0.0000 0.0000 (multiplicity 2)  5 Tl 3.50-3.78, 5 Pb 3.53-3.73, 2 La 3.55
Tl 0.0000 0.0000 0.3253 (multiplicity 2)  4 Pb 3.32, 4 La 3.50, 2 Tl 3.55
Pb 0.0000 0.0000 0.6786 (multiplicity 2)  4 Tl 3.32, 4 La 3.53, 2 Pb 3.55

---

Entry 5:
Material: Cs2AsI6N
Method: DFT, PBE-GGA
State: optimized geometry

formation energy without anion corrections = -0.22 eV/atom
M_tot = 0.0014 μB per atom

Unit cell a=7.8565 b=7.8565 c=11.6680 alpha=90.00 beta=90.00 gamma=90.00
With the nearest neighbours (Å) after each atom.
Space group I4/mmm (No. 139)
Unique sites:
Cs 0.0000 0.5000 0.2500 (multiplicity 4)  12 I 3.93-4.03
As 0.0000 0.0000 0.0000 (multiplicity 2)  6 I 2.92-2.93
I 0.0000 0.0000 0.2505 (multiplicity 4)  1 N 2.91, 1 As 2.92
I 0.2360 0.2360 0.5000 (multiplicity 8)  1 N 2.62, 1 As 2.93
N 0.0000 0.0000 0.5000 (multiplicity 2)  6 I 2.62-2.91

---

Entry 6:
Material: NaTa2CrCl
Method: DFT, PBE-GGA
State: optimized geometry

formation energy without anion corrections = 1.11 eV/atom
M_tot = 0.0001 μB per atom

Unit cell a=4.5529 b=4.5529 c=5.7319 alpha=90.00 beta=90.00 gamma=90.00
With the nearest neighbours (Å) after each atom.
Space group P4/mmm (No. 123)
Unique sites:
Na 0.0000 0.0000 0.0000 (multiplicity 1)  4 Cl 3.22
Ta 0.0000 0.5000 0.5000 (multiplicity 2)  2 Cr 2.28
Cr 0.5000 0.5000 0.5000 (multiplicity 1)  4 Ta 2.28
Cl 0.5000 0.5000 0.0000 (multiplicity 1)  2 Cr 2.87

---

Entry 7:
Material: La2PrCd2
Method: DFT, PBE-GGA
State: optimized geometry

M_tot = 0.0401 μB per atom
formation energy = 0 meV/atom

Unit cell a=9.8802 b=11.0399 c=6.3234 alpha=90.00 beta=90.00 gamma=90.00
With the nearest neighbours (Å) after each atom.
Space group Ibam (No. 72)
Unique sites:
La 0.0947 0.1254 0.0000 (multiplicity 8)  5 Cd 3.12-3.47, 1 La 3.34
Pr 0.0000 0.5000 0.2500 (multiplicity 4)  2 Pr 3.16, 4 Cd 3.37
Cd 0.2389 0.1350 0.5000 (multiplicity 8)  5 La 3.12-3.47, 2 Pr 3.37

---

Entry 8:
Material: Pu4Te3Cl
Method: DFT, PBE-GGA
State: optimized geometry

formation energy without anion corrections = -1.07 eV/atom
M_tot = 0.0580 μB per atom

Unit cell a=4.3550 b=4.3550 c=41.9162 alpha=90.00 beta=90.00 gamma=120.00
With the nearest neighbours (Å) after each atom.
Space group R-3m (No. 166, hexagonal axes)
Unique sites:
Pu 0.0000 0.0000 0.1224 (multiplicity 6)  6 Te 3.12
Pu 0.0000 0.0000 0.3679 (multiplicity 6)  3 Cl 2.90, 3 Te 3.11
Te 0.0000 0.0000 0.2551 (multiplicity 6)  6 Pu 3.11-3.12
Te 0.0000 0.0000 0.5000 (multiplicity 3)  6 Pu 3.12
Cl 0.0000 0.0000 0.0000 (multiplicity 3)  6 Pu 2.90

---

Entry 9:
Material: RbInSi
Method: DFT, PBE-GGA
State: optimized geometry

formation energy without anion corrections = 0.04 eV/atom
M_tot = 0.0000 μB per atom

Unit cell a=6.0788 b=4.0471 c=8.2042 alpha=90.00 beta=94.80 gamma=90.00
With the nearest neighbours (Å) after each atom.
Space group P2_1/m (No. 11)
Unique sites:
Rb 0.0304 0.2500 0.2249 (multiplicity 2)  6 Si 3.68-4.04, 5 In 3.77-4.03, 2 Rb 4.05
In 0.4235 0.2500 0.6075 (multiplicity 2)  1 Si 2.65, 2 In 2.89
Si 0.4753 0.7500 0.0724 (multiplicity 2)  2 Si 2.38, 1 In 2.65

---

Entry 10:
Material: Rb3Ac2ZrTe6
Method: DFT, PBE-GGA
State: optimized geometry

formation energy without anion corrections = -1.26 eV/atom
M_tot = 0.0842 μB per atom

Unit cell a=8.1164 b=14.0648 c=9.0195 alpha=90.00 beta=107.63 gamma=90.00
With the nearest neighbours (Å) after each atom.
Space group C2/m (No. 12)
Unique sites:
Rb 0.0000 0.0000 0.0000 (multiplicity 2)  6 Te 3.63-3.89
Rb 0.0000 0.3268 0.0000 (multiplicity 4)  6 Te 3.64-3.82
Ac 0.0000 0.1658 0.5000 (multiplicity 4)  6 Te 3.33-3.34
Zr 0.0000 0.5000 0.5000 (multiplicity 2)  6 Te 3.03-3.04
Te 0.2206 0.3475 0.7046 (multiplicity 8)  1 Zr 3.03, 2 Ac 3.33-3.34
Te 0.2343 0.5000 0.2936 (multiplicity 4)  1 Zr 3.04, 2 Ac 3.34

---

Entry 11:
Material: YLuPuMg
Method: DFT, PBE-GGA
State: optimized geometry

M_tot = 1.5833 μB per atom
formation energy = 153 meV/atom

Unit cell a=7.6674 b=7.6674 c=7.6674 alpha=90.00 beta=90.00 gamma=90.00
With the nearest neighbours (Å) after each atom.
Space group F-43m (No. 216)
Unique sites:
Y 0.0000 0.0000 0.0000 (multiplicity 4)  4 Pu 3.32, 4 Mg 3.32
Lu 0.0000 0.0000 0.5000 (multiplicity 4)  4 Mg 3.32, 4 Pu 3.32
Pu 0.2500 0.2500 0.7500 (multiplicity 4)  4 Y 3.32, 4 Lu 3.32
Mg 0.2500 0.2500 0.2500 (multiplicity 4)  4 Y 3.32, 4 Lu 3.32

---

Entry 12:
Material: Pm4C2Cl5
Method: DFT, PBE-GGA
State: optimized geometry

formation energy without anion corrections = -1.60 eV/atom
M_tot = 0.0000 μB per atom

Unit cell a=18.8176 b=3.8210 c=7.8700 alpha=90.00 beta=107.64 gamma=90.00
With the nearest neighbours (Å) after each atom.
Space group C2/m (No. 12)
Unique sites:
Pm 0.0000 0.0000 0.2097 (multiplicity 4)  4 C 2.61-2.63
Pm 0.1635 0.5000 0.1282 (multiplicity 4)  1 C 2.23
C 0.0394 0.5000 0.0303 (multiplicity 4)  1 C 1.41
Cl 0.0000 0.5000 0.5000 (multiplicity 2)  4 Pm 2.98
Cl 0.1617 0.0000 0.3875 (multiplicity 4)  3 Pm 2.80-2.94
Cl 0.1679 0.0000 0.8600 (multiplicity 4)  4 Pm 2.87-3.15